No. 1
Below is crystalline Dy5In2RuRh2 at its relaxed geometry, with properties calculated at the PBE level.

a = 3.503 Å, b = 11.637 Å, c = 11.637 Å
α = 90.00°, β = 90.00°, γ = 90.00°
Fractional positions:
Dy 0.500 0.194 0.065
Dy 0.500 0.806 0.935
Dy 0.500 0.065 0.806
Dy 0.500 0.694 0.435
Dy 0.500 0.935 0.194
Dy 0.500 0.306 0.565
Dy 0.500 0.565 0.694
Dy 0.500 0.435 0.306
Dy 0.500 0.500 0.000
Dy 0.500 0.000 0.500
In 0.000 0.679 0.179
In 0.000 0.321 0.821
In 0.000 0.179 0.321
In 0.000 0.821 0.679
Ru 0.000 0.000 0.000
Ru 0.000 0.500 0.500
Rh 0.000 0.136 0.636
Rh 0.000 0.864 0.364
Rh 0.000 0.636 0.864
Rh 0.000 0.364 0.136

Spin magnetization   0.00 μB/f.u.
Formation energy   -560 meV/atom

No. 2
Below is crystalline SeBr2 at its relaxed geometry, with properties calculated at the PBE level.

a = 8.589 Å, b = 8.589 Å, c = 6.372 Å
α = 96.07°, β = 96.07°, γ = 26.59°
Fractional positions:
Se 0.301 0.301 0.572
Se 0.699 0.699 0.428
Br 0.639 0.639 0.742
Br 0.095 0.095 0.202
Br 0.905 0.905 0.798
Br 0.361 0.361 0.258

Spin magnetization   0.00 μB/f.u.
E above lowest polymorph   28 meV per atom
Energy relative to the elements, uncorrected   0.020 eV per atom

No. 3
Below is crystalline CsNaIn at its relaxed geometry, with properties calculated at the PBE level.

a = 5.435 Å, b = 8.383 Å, c = 7.804 Å
α = 128.89°, β = 89.99°, γ = 90.00°
Fractional positions:
Cs 0.812 0.320 0.357
Cs 0.312 0.839 0.817
Na 0.812 0.725 0.211
Na 0.312 0.433 0.962
In 0.812 0.150 0.721
In 0.312 0.008 0.452

Spin magnetization   0.00 μB/f.u.
Formation energy   -33 meV/atom
E above lowest polymorph   2 meV per atom

No. 4
Below is crystalline Sr2Ag6Hg at its relaxed geometry, with properties calculated at the PBE level.

a = 6.302 Å, b = 6.287 Å, c = 6.287 Å
α = 59.94°, β = 89.95°, γ = 89.95°
Fractional positions:
Sr 0.842 0.667 0.667
Sr 0.158 0.333 0.333
Ag 0.337 0.361 0.820
Ag 0.337 0.819 0.819
Ag 0.337 0.820 0.361
Ag 0.663 0.639 0.180
Ag 0.663 0.181 0.181
Ag 0.663 0.180 0.639
Hg 0.000 0.000 0.000

Spin magnetization   0.00 μB/f.u.
Formation energy   -203 meV/atom

No. 5
Below is crystalline CoSiSe2Br at its relaxed geometry, with properties calculated at the PBE level.

a = 4.898 Å, b = 4.898 Å, c = 4.912 Å
α = 90.00°, β = 90.00°, γ = 90.00°
Last column: magnetic moment on the atom in μB.
Fractional positions:
Si 0.000 0.000 0.000  0.00
Co 0.500 0.500 0.500  2.32
Se 0.000 0.500 0.000  0.06
Se 0.500 0.000 0.000  0.06
Br 0.000 0.000 0.500  0.02

Spin magnetization   2.63 μB/f.u.
E above lowest polymorph   209 meV per atom
Energy relative to the elements, uncorrected   0.690 eV per atom

No. 6
Below is crystalline AlSnAu2O at its relaxed geometry, with properties calculated at the PBE level.

a = 4.561 Å, b = 4.729 Å, c = 4.561 Å
α = 90.00°, β = 90.00°, γ = 90.00°
Fractional positions:
Au 0.000 0.000 0.500
Au 0.500 0.000 0.000
Sn 0.000 0.500 0.000
O 0.000 0.000 0.000
Al 0.500 0.500 0.500

Spin magnetization   0.00 μB/f.u.
Energy relative to the elements, uncorrected   0.220 eV per atom

No. 7
Below is crystalline NaMgPO2 at its relaxed geometry, with properties calculated at the PBE level.

a = 4.127 Å, b = 4.127 Å, c = 5.008 Å
α = 90.00°, β = 90.00°, γ = 90.00°
Last column: magnetic moment on the atom in μB.
Fractional positions:
P 0.000 0.000 0.500  0.41
Mg 0.500 0.500 0.500  0.00
O 0.000 0.500 0.000  0.87
O 0.500 0.000 0.000  0.87
Na 0.000 0.000 0.000  0.00

Spin magnetization   2.90 μB/f.u.
Energy relative to the elements, uncorrected   0.407 eV per atom

No. 8
Below is crystalline MoAs2P at its relaxed geometry, with properties calculated at the PBE level.

a = 9.107 Å, b = 9.107 Å, c = 9.107 Å
α = 19.27°, β = 19.27°, γ = 19.27°
Fractional positions:
As 0.017 0.017 0.017
As 0.231 0.231 0.231
Mo 0.491 0.491 0.491
P 0.760 0.760 0.760

Spin magnetization   0.00 μB/f.u.
Formation energy   32 meV/atom